This record from Alexandria describes a geometry-optimized Hf3Al3PdAu2 structure. The functional is PBE-GGA.

As for the total energy: -0.4800 Ry/atom. Its crystal system is hexagonal. The value obtained for the calculated formation energy is -0.6600 eV/atom. The density of states at the Fermi level comes out at 3.56 states/eV/cell.

a b c (Å): 4.1124 6.7644 6.7644
angles (deg): 120.00 90.00 90.00
With the nearest neighbours (Å) after each atom.
Atoms (fractional coordinates):
1 Pd 0.0000 0.0000 0.0000  6 Al 2.63, 3 Hf 2.82
2 Au 0.5000 0.6667 0.3333  3 Al 2.62, 6 Hf 2.89
3 Hf 0.0000 0.5837 0.5837  1 Pd 2.82, 4 Au 2.89, 2 Al 3.09
4 Hf 0.0000 0.0000 0.4163  1 Pd 2.82, 4 Au 2.89, 2 Al 3.09
5 Hf 0.0000 0.4163 0.0000  1 Pd 2.82, 4 Au 2.89, 2 Al 3.09
6 Au 0.5000 0.3333 0.6667  3 Al 2.62, 6 Hf 2.89
7 Al 0.5000 0.7573 0.0000  2 Au 2.62, 2 Pd 2.63, 2 Al 2.84
8 Al 0.5000 0.2427 0.2427  2 Au 2.62, 2 Pd 2.63, 2 Al 2.84
9 Al 0.5000 0.0000 0.7573  2 Au 2.62, 2 Pd 2.63, 2 Al 2.84